Version P
AcPrCu2: relaxed, PBE-GGA.

The calculated volume is 101.9 Å³/f.u. The calculation puts the density of states at the Fermi level at 0.740 states/eV/atom.

The space group is P4/mmm (No. 123) and the conventional cell measures 3.719, 3.719 and 7.366 Å, with angles of 90.00, 90.00 and 90.00 degrees. Symmetry generates all atoms from Ac at (0.000, 0.000, 0.000), Pr at (0.000, 0.000, 0.500) and Cu at (0.500, 0.500, 0.273).

Version Q
AcPrCu2: relaxed, PBE-GGA.

The calculated volume is 104.3 Å³/f.u. The calculation puts the density of states at the Fermi level at 0.810 states/eV/atom.

The space group is Pm (No. 6) and the conventional cell measures 4.147, 4.557 and 5.885 Å, with angles of 90.00, 110.31 and 90.00 degrees. Symmetry generates all atoms from Ac at (0.000, 0.000, 0.000), Pr at (0.283, 0.500, 0.569), Cu at (0.586, 0.500, 0.172) and Cu at (0.708, 0.000, 0.420).

Version R
AcPrCu2: relaxed, PBE-GGA.

The calculated volume is 113.9 Å³/f.u. The calculation puts the density of states at the Fermi level at 0.940 states/eV/atom.

The space group is R-3m (No. 166, hexagonal axes) and the conventional cell measures 4.1224, 4.1224 and 23.2255 Å, with angles of 90.00, 90.00 and 120.00 degrees. Symmetry generates all atoms from Ac at (0.0000, 0.0000, 0.0000), Pr at (0.0000, 0.0000, 0.5000) and Cu at (0.0000, 0.0000, 0.2461).

Which structure wins on stability? version Q wins.

Version P
Ac2PrCu2: relaxed, PBE-GGA.

The calculated volume is 159.1 Å³/f.u. The calculation puts the density of states at the Fermi level at 1.303 states/eV/atom.

The space group is Cmcm (No. 63) and the conventional cell measures 6.793, 15.429 and 6.072 Å, with angles of 90.00, 90.00 and 90.00 degrees. Symmetry generates all atoms from Ac at (0.000, 0.085, 0.250), Ac at (0.000, 0.280, 0.750), Pr at (0.000, 0.500, 0.000) and Cu at (0.193, 0.107, 0.750).

Version Q
Ac2PrCu2: relaxed, PBE-GGA.

The calculated volume is 154.8 Å³/f.u. The calculation puts the density of states at the Fermi level at 1.024 states/eV/atom.

The space group is P2_1/m (No. 11) and the conventional cell measures 6.450, 4.149 and 11.618 Å, with angles of 90.00, 95.31 and 90.00 degrees. Symmetry generates all atoms from Ac at (0.115, 0.250, 0.377), Ac at (0.267, 0.250, 0.056), Pr at (0.381, 0.250, 0.711), Cu at (0.192, 0.750, 0.857) and Cu at (0.396, 0.750, 0.522).

Which structure wins on stability? version Q wins.

Version P
AcPrCuRu: relaxed, PBE-GGA.

The calculated volume is 97.4 Å³/f.u. The calculation puts the density of states at the Fermi level at 0.519 states/eV/atom.

The space group is F-43m (No. 216) and the conventional cell measures 7.304, 7.304 and 7.304 Å, with angles of 90.00, 90.00 and 90.00 degrees. Symmetry generates all atoms from Ac at (0.000, 0.000, 0.000), Pr at (0.000, 0.000, 0.500), Cu at (0.250, 0.250, 0.250) and Ru at (0.250, 0.250, 0.750).

Version Q
AcPrCuRu: relaxed, PBE-GGA.

The calculated volume is 101.2 Å³/f.u. The calculation puts the density of states at the Fermi level at 0.750 states/eV/atom.

The space group is Amm2 (No. 38) and the conventional cell measures 4.401, 4.147 and 11.085 Å, with angles of 90.00, 90.00 and 90.00 degrees. Symmetry generates all atoms from Ac at (0.000, 0.000, 0.000), Pr at (0.500, 0.000, 0.279), Cu at (0.500, 0.000, 0.577) and Ru at (0.000, 0.000, 0.718).

Which structure wins on stability? version Q wins.